The following is a DFT calculation (PBE) of a relaxed Cs2GeBr2F4 crystal.

Structure (CIF):
```
data_Cs2GeBr2F4
_cell_length_a 7.311
_cell_length_b 7.311
_cell_length_c 8.888
_cell_angle_alpha 90.00
_cell_angle_beta 90.00
_cell_angle_gamma 90.00
_space_group_name_H-M_alt 'I 4/m m m'
_space_group_IT_number 139
_space_group_name_Hall '-I 4 2'
loop_
_atom_site_label
_atom_site_type_symbol
_atom_site_fract_x
_atom_site_fract_y
_atom_site_fract_z
Cs1 Cs 0.000 0.500 0.250
Ge1 Ge 0.000 0.000 0.000
Br1 Br 0.000 0.000 0.281
F1 F 0.178 0.178 0.000
```

## Properties
Mass density, g/cm3: 4.01
Formation energy from raw total energies, kJ/mol of formula units: -1905
M_tot, μB per atom: 0.000